No. 1
This record from OQMD describes crystalline YHoBr2NCl at its relaxed geometry. The functional is GGA-PBE.

Cell and atoms, written as extended XYZ:
```
12
Lattice="9.1533 -1.9217 0.0000 9.1533 1.9217 0.0000 -6.7811 0.0000 9.2811" Properties=species:S:1:pos:R:3 pbc="T T T"
N 2.0415 0.0000 7.8356
N 9.4840 0.0000 1.4456
Br 3.1427 0.0000 1.1409
Br 8.3828 0.0000 8.1402
Br 15.9238 0.0000 2.3828
Br -4.3982 0.0000 6.8984
Cl 8.9188 0.0000 4.7007
Cl 2.6068 0.0000 4.5805
Y 10.9662 0.0000 6.5747
Y 0.5594 0.0000 2.7064
Ho 3.9911 0.0000 8.9148
Ho 7.5345 0.0000 0.3663
```

Results
As for the size of the total moment: 0.00 μB/f.u. The energy above the most stable polymorph in this dataset comes out at 0.008 eV per atom.



No. 2
This record from OQMD describes crystalline YHoBrNCl2 at its relaxed geometry. The functional is GGA-PBE.

Cell and atoms, written as extended XYZ:
```
12
Lattice="-4.7263 1.6569 7.4101 -1.3802 0.4439 8.8256 5.2746 7.8852 -5.7115" Properties=species:S:1:pos:R:3 pbc="T T T"
Cl 3.2027 8.4605 -0.3206
Cl 1.9688 5.2905 -0.1202
Cl -4.0346 1.5255 10.8449
Cl -2.8006 4.6955 10.6445
Y 3.3508 6.5428 -2.3142
Y -4.1827 3.4432 12.8384
Br 0.9960 1.9785 -0.6589
Br -1.8278 8.0075 11.1832
N -0.7922 3.5971 4.9553
N -0.0397 6.3889 5.5689
Ho -1.1055 4.8464 6.7667
Ho 0.2737 5.1396 3.7576
```

Results
As for the size of the total moment: 0.00 μB/f.u. The energy above the most stable polymorph in this dataset comes out at 0.006 eV per atom.



No. 3
This record from OQMD describes crystalline Y2Ho2Br2NCl3 at its relaxed geometry. The functional is GGA-PBE.

Cell and atoms, written as extended XYZ:
```
10
Lattice="8.6494 -1.8328 0.0000 8.6494 1.8328 0.0000 -1.7619 0.0000 7.5163" Properties=species:S:1:pos:R:3 pbc="T T T"
Br 14.0150 0.0000 1.4214
Br 1.5217 0.0000 6.0949
Cl 7.7684 0.0000 3.7581
Cl 2.1330 0.0000 2.5758
Cl 13.4038 0.0000 4.9405
Ho 16.9290 0.0000 1.5549
Ho -1.3922 0.0000 5.9614
N 8.6494 0.0000 0.0000
Y 10.9239 0.0000 0.5697
Y 4.6129 0.0000 6.9466
```

Results
For the energy, the calculation gives -56.74 eV/cell. As for the size of the total moment: 0.00 μB/f.u.



No. 4
This record from OQMD describes crystalline YHoBr2NCl at its relaxed geometry. The functional is GGA-PBE.

Cell and atoms, written as extended XYZ:
```
12
Lattice="-8.8769 3.1644 -0.2546 -8.7068 1.5999 3.2418 9.3809 6.3271 2.3748" Properties=species:S:1:pos:R:3 pbc="T T T"
Br 6.3842 4.8396 1.8550
Br -2.6498 1.8404 0.9524
Br -14.5871 6.2517 3.5070
Br -5.5531 9.2510 4.4095
Y -7.1273 2.2772 1.3656
Y -1.0756 8.8142 3.9963
Cl -7.1364 6.4225 3.2209
Cl -1.0665 4.6689 2.1410
Ho 0.2941 2.5101 1.1089
Ho -8.4970 8.5812 4.2531
N -8.6633 3.7488 2.0989
N 0.4604 7.3425 3.2631
```

Results
As for the size of the total moment: 0.00 μB/f.u. The energy above the most stable polymorph in this dataset comes out at 0.014 eV per atom.